Ti5BeGa4 | PBE | relaxed

M_tot = 0.00 μB/cell
Calculated volume = 151.3 Å³/cell
Total energy = -5.92 eV/atom
DFT formation energy = -3.88 eV per formula unit
ΔE to the lowest computed polymorph = 0.000 eV/f.u.
ρ = 5.8 Mg/m³

extended XYZ file:
```
10
Lattice="2.813 0.000 0.000 0.000 2.813 0.000 0.000 0.000 19.114" Properties=species:S:1:pos:R:3 pbc="T T T"
Ga 0.000 0.000 3.618
Ga 0.000 0.000 11.542
Ga 0.000 0.000 7.572
Ga 0.000 0.000 15.496
Ti 1.407 1.407 1.628
Ti 1.407 1.407 5.582
Ti 1.407 1.407 17.486
Ti 1.407 1.407 9.557
Ti 1.407 1.407 13.532
Be 0.000 0.000 0.000
```